Entry 1:
Material: LiCrCuRu
Method: DFT, PBE
State: relaxed

The value obtained for the formation energy is 0.156 eV per atom. The calculation puts the total energy at -6.071 eV/atom. The crystal system is cubic.

Cell: 5.845 5.845 5.845 Å, 90.00 90.00 90.00°
Space group F-43m (No. 216)
Unique sites:
1 Li 0.000 0.000 0.000 x4
2 Cr 0.000 0.000 0.500 x4
3 Cu 0.250 0.250 0.250 x4
4 Ru 0.250 0.250 0.750 x4


Entry 2:
Material: CaPuSnN3
Method: DFT, PBE
State: relaxed

The calculation puts the total energy at -8.188 eV/atom. Its uncorrected formation energy is -0.636 eV per atom. The crystal system is monoclinic.

Cell: 6.877 3.294 9.019 Å, 90.00 90.67 90.00°
Space group P2_1/m (No. 11)
Unique sites:
1 Ca 0.131 0.250 0.174 x2
2 Pu 0.364 0.750 0.865 x2
3 Sn 0.198 0.250 0.538 x2
4 N 0.114 0.750 0.388 x2
5 N 0.166 0.250 0.893 x2
6 N 0.424 0.750 0.112 x2


Entry 3:
Material: Pm2NpC
Method: DFT, PBE
State: relaxed

The value obtained for the formation energy is 0.390 eV per atom. The calculation puts the total energy at -7.526 eV/atom. The crystal system is trigonal.

Cell: 3.5231 3.5231 29.6320 Å, 90.00 90.00 120.00°
Space group R-3m (No. 166, hexagonal axes)
Unique sites:
1 Pm 0.0000 0.0000 0.1182 x6
2 Np 0.0000 0.0000 0.0000 x3
3 C 0.0000 0.0000 0.5000 x3


Entry 4:
Material: Na3SrP
Method: DFT, PBE
State: relaxed

The value obtained for the formation energy is -0.057 eV per atom. The calculation puts the total energy at -2.266 eV/atom. For the distance to the lowest polymorph of the same formula, the calculation gives 0.00 eV per formula unit. The crystal system is cubic.

Cell: 5.604 5.604 5.604 Å, 90.00 90.00 90.00°
Space group Pm-3m (No. 221)
Unique sites:
1 Na 0.000 0.000 0.500 x3
2 Sr 0.500 0.500 0.500 x1
3 P 0.000 0.000 0.000 x1


Entry 5:
Material: TaGeBr2
Method: DFT, PBE
State: relaxed

The calculation puts the total energy at -4.632 eV/atom. For the distance to the lowest polymorph of the same formula, the calculation gives 1.20 eV per formula unit. Its uncorrected formation energy is 0.322 eV per atom. The crystal system is trigonal.

Cell: 3.2810 3.2810 29.7825 Å, 90.00 90.00 120.00°
Space group R-3m (No. 166, hexagonal axes)
Unique sites:
1 Ta 0.0000 0.0000 0.0000 x3
2 Ge 0.0000 0.0000 0.5000 x3
3 Br 0.0000 0.0000 0.0834 x6


Entry 6:
Material: MnZnBr4
Method: DFT, PBE
State: relaxed

The calculation puts the total energy at -3.493 eV/atom. For the distance to the lowest polymorph of the same formula, the calculation gives 0.00 eV per formula unit. Its uncorrected formation energy is -0.637 eV per atom. The crystal system is tetragonal.

Cell: 7.355 7.355 9.555 Å, 90.00 90.00 90.00°
Space group P4_2/mmc (No. 131)
Unique sites:
1 Mn 0.000 0.000 0.000 x2
2 Zn 0.000 0.500 0.000 x2
3 Br 0.238 0.254 0.000 x8


Entry 7:
Material: ZnGa2Pb
Method: DFT, PBE
State: relaxed

The value obtained for the formation energy is 0.125 eV per atom. The calculation puts the total energy at -2.634 eV/atom. For the distance to the lowest polymorph of the same formula, the calculation gives 0.17 eV per formula unit. The crystal system is tetragonal.

Cell: 4.201 4.201 4.973 Å, 90.00 90.00 90.00°
Space group P4/mmm (No. 123)
Unique sites:
1 Zn 0.000 0.000 0.000 x1
2 Ga 0.000 0.500 0.500 x2
3 Pb 0.500 0.500 0.000 x1


Entry 8:
Material: Pr7Y2Tm
Method: DFT, PBE
State: relaxed

The value obtained for the formation energy is 0.631 eV per atom. The calculation puts the total energy at -4.454 eV/atom. The crystal system is orthorhombic.

Cell: 8.749 17.412 5.546 Å, 90.00 90.00 90.00°
Space group Cmmm (No. 65)
Unique sites:
1 Pr 0.000 0.000 0.000 x2
2 Pr 0.000 0.297 0.500 x4
3 Pr 0.180 0.391 0.000 x8
4 Y 0.000 0.208 0.000 x4
5 Tm 0.000 0.500 0.500 x2


Entry 9:
Material: Sm2ThMn
Method: DFT, PBE
State: relaxed

The value obtained for the formation energy is 0.532 eV per atom. The calculation puts the total energy at -5.975 eV/atom. For the distance to the lowest polymorph of the same formula, the calculation gives 1.36 eV per formula unit. The crystal system is trigonal.

Cell: 3.4712 3.4712 34.4385 Å, 90.00 90.00 120.00°
Space group R-3m (No. 166, hexagonal axes)
Unique sites:
1 Sm 0.0000 0.0000 0.0832 x6
2 Th 0.0000 0.0000 0.5000 x3
3 Mn 0.0000 0.0000 0.0000 x3


Entry 10:
Material: Cs3TlBi2Se6
Method: DFT, PBE
State: relaxed

The calculation puts the total energy at -3.498 eV/atom. Its uncorrected formation energy is -0.698 eV per atom. The crystal system is monoclinic.

Cell: 7.575 13.110 8.751 Å, 90.00 106.80 90.00°
Space group C2/m (No. 12)
Unique sites:
1 Cs 0.000 0.000 0.000 x2
2 Cs 0.000 0.331 0.000 x4
3 Tl 0.000 0.500 0.500 x2
4 Bi 0.000 0.166 0.500 x4
5 Se 0.227 0.336 0.689 x8
6 Se 0.235 0.000 0.691 x4


Entry 11:
Material: Al2Ag2Te
Method: DFT, PBE
State: relaxed

The calculation puts the total energy at -3.176 eV/atom. For the distance to the lowest polymorph of the same formula, the calculation gives 0.06 eV per formula unit. Its uncorrected formation energy is 0.090 eV per atom. The crystal system is tetragonal.

Cell: 8.333 8.333 2.941 Å, 90.00 90.00 90.00°
Space group P4/mbm (No. 127)
Unique sites:
1 Al 0.184 0.316 0.000 x4
2 Ag 0.117 0.617 0.500 x4
3 Te 0.000 0.000 0.000 x2


Entry 12:
Material: Dy2Y3Tl4
Method: DFT, PBE
State: relaxed

The value obtained for the formation energy is -0.301 eV per atom. The calculation puts the total energy at -4.530 eV/atom. For the distance to the lowest polymorph of the same formula, the calculation gives 0.00 eV per formula unit. The crystal system is monoclinic.

Cell: 16.833 4.843 6.669 Å, 90.00 105.40 90.00°
Space group C2/m (No. 12)
Unique sites:
1 Dy 0.171 0.000 0.068 x4
2 Y 0.000 0.500 0.000 x2
3 Y 0.109 0.500 0.581 x4
4 Tl 0.009 0.000 0.283 x4
5 Tl 0.246 0.000 0.663 x4


Entry 13:
Material: Li2TiMnCo
Method: DFT, PBE
State: relaxed

The value obtained for the formation energy is 1.463 eV per atom. The calculation puts the total energy at -4.136 eV/atom. The crystal system is tetragonal.

Cell: 4.497 4.497 4.015 Å, 90.00 90.00 90.00°
Space group P4/mmm (No. 123)
Unique sites:
1 Li 0.000 0.500 0.000 x2
2 Ti 0.000 0.000 0.000 x1
3 Mn 0.500 0.500 0.500 x1
4 Co 0.000 0.000 0.500 x1


Entry 14:
Material: Ac4MgRu
Method: DFT, PBE
State: relaxed

The value obtained for the formation energy is -0.158 eV per atom. The calculation puts the total energy at -4.709 eV/atom. For the distance to the lowest polymorph of the same formula, the calculation gives 0.00 eV per formula unit. The crystal system is cubic.

Cell: 14.940 14.940 14.940 Å, 90.00 90.00 90.00°
Space group F-43m (No. 216)
Unique sites:
1 Ac 0.000 0.000 0.188 x24
2 Ac 0.061 0.250 0.250 x24
3 Ac 0.156 0.156 0.656 x16
4 Mg 0.077 0.077 0.423 x16
5 Ru 0.138 0.138 0.862 x16


Entry 15:
Material: Er2Th2Al4Zn
Method: DFT, PBE
State: relaxed

The value obtained for the formation energy is -0.122 eV per atom. The calculation puts the total energy at -4.589 eV/atom. The crystal system is tetragonal.

Cell: 6.939 6.939 8.966 Å, 90.00 90.00 90.00°
Space group I4/mmm (No. 139)
Unique sites:
1 Er 0.000 0.000 0.194 x4
2 Th 0.000 0.500 0.250 x4
3 Al 0.247 0.247 0.500 x8
4 Zn 0.000 0.000 0.500 x2


Entry 16:
Material: AgRh2Br
Method: DFT, PBE
State: relaxed

The calculation puts the total energy at -4.193 eV/atom. For the distance to the lowest polymorph of the same formula, the calculation gives 1.24 eV per formula unit. Its uncorrected formation energy is 0.614 eV per atom. The crystal system is tetragonal.

Cell: 4.687 4.687 3.028 Å, 90.00 90.00 90.00°
Space group P4/mmm (No. 123)
Unique sites:
1 Ag 0.000 0.000 0.000 x1
2 Rh 0.000 0.500 0.500 x2
3 Br 0.500 0.500 0.000 x1


Entry 17:
Material: Ca6Mg5Cd
Method: DFT, PBE
State: relaxed

The value obtained for the formation energy is -0.129 eV per atom. The calculation puts the total energy at -1.871 eV/atom. The crystal system is monoclinic.

Cell: 5.586 7.881 8.779 Å, 90.00 108.34 90.00°
Space group P2/m (No. 10)
Unique sites:
1 Ca 0.000 0.243 0.000 x2
2 Ca 0.337 0.247 0.673 x4
3 Mg 0.166 0.500 0.335 x2
4 Mg 0.172 0.000 0.343 x2
5 Mg 0.500 0.500 0.000 x1
6 Cd 0.500 0.000 0.000 x1


Entry 18:
Material: ZrAs2Au
Method: DFT, PBE
State: relaxed

The value obtained for the formation energy is -0.516 eV per atom. The calculation puts the total energy at -5.797 eV/atom. The crystal system is tetragonal.

Cell: 3.776 3.776 5.560 Å, 90.00 90.00 90.00°
Space group P4mm (No. 99)
Unique sites:
1 Zr 0.000 0.000 0.000 x1
2 As 0.000 0.000 0.524 x1
3 As 0.500 0.500 0.146 x1
4 Au 0.500 0.500 0.658 x1


Entry 19:
Material: Mg4Sn3
Method: DFT, PBE
State: relaxed

The value obtained for the formation energy is -0.120 eV per atom. The calculation puts the total energy at -2.747 eV/atom. For the distance to the lowest polymorph of the same formula, the calculation gives 0.00 eV per formula unit. The crystal system is orthorhombic.

Cell: 3.429 4.292 22.648 Å, 90.00 90.00 90.00°
Space group Immm (No. 71)
Unique sites:
1 Mg 0.000 0.000 0.072 x4
2 Mg 0.000 0.000 0.213 x4
3 Sn 0.000 0.000 0.352 x4
4 Sn 0.000 0.000 0.500 x2


Entry 20:
Material: Pm2HoEr6Tm3
Method: DFT, PBE
State: relaxed

The value obtained for the formation energy is 0.022 eV per atom. The calculation puts the total energy at -4.550 eV/atom. The crystal system is monoclinic.

Cell: 6.112 10.574 11.677 Å, 90.00 100.03 90.00°
Space group C2/m (No. 12)
Unique sites:
1 Pm 0.000 0.167 0.000 x4
2 Ho 0.000 0.500 0.000 x2
3 Er 0.248 0.166 0.747 x8
4 Er 0.248 0.500 0.747 x4
5 Tm 0.000 0.000 0.500 x2
6 Tm 0.000 0.334 0.500 x4